i:
LaRhCl2 | PBE | relaxed

abc: 7.084 7.084 7.084
angles: 147.18 145.57 48.30
Sites, in units of the cell vectors:
La 0.750 0.250 0.500
Cl 0.404 0.404 0.000
Cl 0.096 0.096 0.000
Rh 0.250 0.750 0.500

ii:
LaRhCl2 | PBE | relaxed

abc: 4.525 4.525 9.532
angles: 76.27 76.27 90.00
Sites, in units of the cell vectors:
La 0.750 0.250 0.500
La 0.000 0.000 0.000
Rh 0.500 0.500 0.000
Rh 0.250 0.750 0.500
Cl 0.875 0.849 0.750
Cl 0.599 0.125 0.250
Cl 0.375 0.401 0.750
Cl 0.151 0.625 0.250

iii:
LaRhCl2 | PBE | relaxed

abc: 5.795 5.795 5.468
angles: 86.53 86.53 37.97
Sites, in units of the cell vectors:
La 0.524 0.524 0.578
Rh 0.148 0.148 0.356
Cl 0.804 0.804 0.555
Cl 0.024 0.024 0.011

iv:
LaRhCl2 | PBE | relaxed

abc: 5.629 5.629 5.629
angles: 136.84 136.84 62.69
Sites, in units of the cell vectors:
Cl 0.000 0.000 0.000
Cl 0.250 0.750 0.500
La 0.500 0.500 0.000
Rh 0.750 0.250 0.500

It comes down to iii, which is 172 meV/atom more stable than the next structure.

i:
LaRhCl2 | PBE | relaxed

abc: 5.441 4.511 4.516
angles: 85.57 67.48 112.49
Sites, in units of the cell vectors:
La 0.500 0.500 0.000
Cl 0.000 0.000 0.000
Cl 0.000 0.500 0.500
Rh 0.500 0.000 0.500

ii:
LaRhCl2 | PBE | relaxed

abc: 7.373 7.373 7.373
angles: 33.17 33.17 33.17
Sites, in units of the cell vectors:
La 0.478 0.478 0.478
Cl 0.050 0.050 0.050
Cl 0.229 0.229 0.229
Rh 0.743 0.743 0.743

iii:
LaRhCl2 | PBE | relaxed

abc: 4.389 4.531 4.537
angles: 83.76 90.00 90.00
Sites, in units of the cell vectors:
Cl 0.000 0.976 0.976
Cl 0.000 0.524 0.524
Rh 0.500 0.750 0.750
La 0.500 0.250 0.250

It comes down to ii, which is 263 meV/atom more stable than the next structure.

i:
LaRhCl2 | PBE | relaxed

abc: 4.429 4.429 4.165
angles: 90.00 90.00 90.00
Sites, in units of the cell vectors:
Cl 0.000 0.000 0.000
Cl 0.500 0.500 0.000
Rh 0.000 0.500 0.500
La 0.500 0.000 0.500

ii:
LaRhCl2 | PBE | relaxed

abc: 3.952 3.952 6.094
angles: 90.00 90.00 90.00
Sites, in units of the cell vectors:
La 0.000 0.000 0.512
Rh 0.500 0.500 0.701
Cl 0.000 0.000 0.968
Cl 0.500 0.500 0.319

iii:
LaRhCl2 | PBE | relaxed

abc: 7.266 7.266 7.266
angles: 150.80 145.90 45.50
Sites, in units of the cell vectors:
Cl 0.767 0.267 0.500
Cl 0.023 0.023 0.000
La 0.423 0.423 0.000
Rh 0.288 0.788 0.500

It comes down to iii, which is 11 meV/atom more stable than the next structure.